Record 1
The following is a GGA-PBE calculation of crystalline Tb7Nd4Tl at its relaxed geometry, from the Alexandria database.

Unit cell a=4.5988 b=4.5988 c=22.9138 alpha=90.00 beta=90.00 gamma=120.00
Space group P-3m1 (No. 164)
One atom of each set of equivalent atoms:
1 Tb 0.0000 0.0000 0.0000 x1
2 Tb 0.0000 0.0000 0.2557 x2
3 Tb 0.3333 0.6667 0.1752 x2
4 Tb 0.3333 0.6667 0.4385 x2
5 Nd 0.3333 0.6667 0.6580 x2
6 Nd 0.3333 0.6667 0.9121 x2
7 Tl 0.0000 0.0000 0.5000 x1

Summary:
- Formation enthalpy at 0 K: 553 meV/atom
- ρ: 7.493 g cm⁻³
- Spin magnetization: 0.388 μB/f.u.

Record 2
The following is a GGA-PBE calculation of crystalline SrBeFe2Au at its relaxed geometry, from the Alexandria database.

Unit cell a=4.948 b=4.948 c=4.427 alpha=90.00 beta=90.00 gamma=90.00
Space group P4/mmm (No. 123)
One atom of each set of equivalent atoms:
1 Sr 0.000 0.000 0.000 x1
2 Be 0.500 0.500 0.000 x1
3 Fe 0.000 0.500 0.500 x2
4 Au 0.500 0.500 0.500 x1

Summary:
- Formation enthalpy at 0 K: 632 meV/atom
- ρ: 6.209 g cm⁻³
- Spin magnetization: 5.864 μB/f.u.

Record 3
The following is a GGA-PBE calculation of crystalline La2Se3 at its relaxed geometry, from the Alexandria database.

Unit cell a=11.672 b=4.285 c=11.367 alpha=90.00 beta=90.00 gamma=90.00
Space group Pnma (No. 62)
One atom of each set of equivalent atoms:
1 La 0.008 0.250 0.186 x4
2 La 0.191 0.250 0.506 x4
3 Se 0.047 0.750 0.373 x4
4 Se 0.122 0.250 0.944 x4
5 Se 0.229 0.750 0.700 x4

Summary:
- ρ: 6.014 g cm⁻³
- Spin magnetization: 0.000 μB/f.u.
- Formation energy (no corrections): -10.238 eV/f.u.

Record 4
The following is a GGA-PBE calculation of crystalline LaPmCdAg at its relaxed geometry, from the Alexandria database.

Unit cell a=3.828 b=3.828 c=7.671 alpha=90.00 beta=90.00 gamma=90.00
Space group P4mm (No. 99)
One atom of each set of equivalent atoms:
1 La 0.000 0.000 0.000 x1
2 Pm 0.000 0.000 0.484 x1
3 Cd 0.500 0.500 0.731 x1
4 Ag 0.500 0.500 0.259 x1

Summary:
- Formation enthalpy at 0 K: -292 meV/atom
- ρ: 7.447 g cm⁻³
- Energy above the most stable polymorph in this dataset: 0.00 eV per formula unit
- Spin magnetization: 0.351 μB/f.u.

Record 5
The following is a GGA-PBE calculation of crystalline Cd2HgSb2 at its relaxed geometry, from the Alexandria database.

Unit cell a=9.073 b=9.073 c=3.319 alpha=90.00 beta=90.00 gamma=90.00
Space group P4/mbm (No. 127)
One atom of each set of equivalent atoms:
1 Cd 0.143 0.357 0.000 x4
2 Hg 0.000 0.000 0.500 x2
3 Sb 0.155 0.655 0.500 x4

Summary:
- ρ: 8.132 g cm⁻³
- Energy above the most stable polymorph in this dataset: 0.40 eV per formula unit
- Spin magnetization: 0.000 μB/f.u.
- Formation energy (no corrections): 0.579 eV/f.u.

Record 6
The following is a GGA-PBE calculation of crystalline AsIrAuC2 at its relaxed geometry, from the Alexandria database.

Unit cell a=4.011 b=4.031 c=5.298 alpha=76.71 beta=76.57 gamma=70.25
Space group P1 (No. 1)
One atom of each set of equivalent atoms:
1 As 0.000 0.000 0.000 x1
2 Ir 0.390 0.391 0.859 x1
3 Au 0.861 0.862 0.542 x1
4 C 0.387 0.390 0.232 x1
5 C 0.393 0.397 0.473 x1

Summary:
- Formation enthalpy at 0 K: 675 meV/atom
- ρ: 10.481 g cm⁻³
- Energy above the most stable polymorph in this dataset: 0.62 eV per formula unit
- Spin magnetization: 0.000 μB/f.u.

Record 7
The following is a GGA-PBE calculation of crystalline ZrMnFe at its relaxed geometry, from the Alexandria database.

Unit cell a=8.157 b=4.935 c=8.603 alpha=90.00 beta=90.00 gamma=90.00
Space group Amm2 (No. 38)
One atom of each set of equivalent atoms:
1 Zr 0.186 0.000 0.000 x4
2 Zr 0.313 0.000 0.667 x4
3 Mn 0.000 0.000 0.500 x2
4 Mn 0.500 0.000 0.164 x2
5 Mn 0.500 0.245 0.918 x4
6 Fe 0.000 0.250 0.250 x4
7 Fe 0.254 0.000 0.333 x4

Summary:
- Formation enthalpy at 0 K: -218 meV/atom
- ρ: 7.749 g cm⁻³
- Energy above the most stable polymorph in this dataset: 0.03 eV per formula unit
- Spin magnetization: 2.191 μB/f.u.

Record 8
The following is a GGA-PBE calculation of crystalline TiCuAs2Br at its relaxed geometry, from the Alexandria database.

Unit cell a=4.892 b=4.892 c=5.136 alpha=90.00 beta=90.00 gamma=90.00
Space group P4/mmm (No. 123)
One atom of each set of equivalent atoms:
1 Ti 0.000 0.000 0.000 x1
2 Cu 0.500 0.500 0.500 x1
3 As 0.000 0.500 0.000 x2
4 Br 0.000 0.000 0.500 x1

Summary:
- ρ: 4.609 g cm⁻³
- Energy above the most stable polymorph in this dataset: 0.00 eV per formula unit
- Spin magnetization: 0.000 μB/f.u.
- Formation energy (no corrections): 1.544 eV/f.u.

Record 9
The following is a GGA-PBE calculation of crystalline BeRhAu2 at its relaxed geometry, from the Alexandria database.

Unit cell a=2.884 b=2.884 c=6.992 alpha=90.00 beta=90.00 gamma=90.00
Space group P4mm (No. 99)
One atom of each set of equivalent atoms:
1 Be 0.000 0.000 0.000 x1
2 Rh 0.500 0.500 0.165 x1
3 Au 0.000 0.000 0.454 x1
4 Au 0.500 0.500 0.765 x1

Summary:
- Formation enthalpy at 0 K: -183 meV/atom
- ρ: 14.441 g cm⁻³
- Spin magnetization: 0.000 μB/f.u.

Record 10
The following is a GGA-PBE calculation of crystalline Tl2HgSb2 at its relaxed geometry, from the Alexandria database.

Unit cell a=7.689 b=7.689 c=5.404 alpha=90.00 beta=90.00 gamma=90.00
Space group P4/mbm (No. 127)
One atom of each set of equivalent atoms:
1 Tl 0.172 0.328 0.000 x4
2 Hg 0.000 0.000 0.500 x2
3 Sb 0.135 0.635 0.500 x4

Summary:
- ρ: 8.866 g cm⁻³
- Energy above the most stable polymorph in this dataset: 0.14 eV per formula unit
- Spin magnetization: 0.000 μB/f.u.
- Formation energy (no corrections): 0.216 eV/f.u.

Record 11
The following is a GGA-PBE calculation of crystalline Li3Sc at its relaxed geometry, from the Alexandria database.

Unit cell a=3.425 b=4.972 c=10.016 alpha=90.00 beta=90.00 gamma=90.00
Space group Cmmm (No. 65)
One atom of each set of equivalent atoms:
1 Li 0.000 0.000 0.000 x2
2 Li 0.000 0.500 0.242 x4
3 Sc 0.000 0.000 0.500 x2

Summary:
- Formation enthalpy at 0 K: 105 meV/atom
- ρ: 1.281 g cm⁻³
- Energy above the most stable polymorph in this dataset: 0.00 eV per formula unit
- Spin magnetization: 0.000 μB/f.u.

Record 12
The following is a GGA-PBE calculation of crystalline MoSe3 at its relaxed geometry, from the Alexandria database.

Unit cell a=13.095 b=3.230 c=4.517 alpha=90.00 beta=96.58 gamma=90.00
Space group C2/m (No. 12)
One atom of each set of equivalent atoms:
1 Mo 0.000 0.000 0.000 x2
2 Se 0.000 0.500 0.500 x2
3 Se 0.151 0.500 0.163 x4

Summary:
- ρ: 5.824 g cm⁻³
- Spin magnetization: 0.384 μB/f.u.
- Formation energy (no corrections): 0.145 eV/f.u.

Record 13
The following is a GGA-PBE calculation of crystalline DyAl5 at its relaxed geometry, from the Alexandria database.

Unit cell a=4.376 b=6.066 c=8.611 alpha=90.00 beta=90.00 gamma=90.00
Space group Immm (No. 71)
One atom of each set of equivalent atoms:
1 Dy 0.000 0.000 0.000 x2
2 Al 0.000 0.232 0.337 x8
3 Al 0.000 0.500 0.000 x2

Summary:
- Formation enthalpy at 0 K: -226 meV/atom
- ρ: 4.321 g cm⁻³
- Spin magnetization: 0.000 μB/f.u.

Record 14
The following is a GGA-PBE calculation of crystalline GaReN2 at its relaxed geometry, from the Alexandria database.

Unit cell a=2.8800 b=2.8800 c=19.6157 alpha=90.00 beta=90.00 gamma=120.00
Space group R-3m (No. 166, hexagonal axes)
One atom of each set of equivalent atoms:
1 Ga 0.0000 0.0000 0.0000 x3
2 Re 0.0000 0.0000 0.5000 x3
3 N 0.0000 0.0000 0.1034 x6

Summary:
- ρ: 10.039 g cm⁻³
- Spin magnetization: 0.000 μB/f.u.
- Formation energy (no corrections): 0.514 eV/f.u.

Record 15
The following is a GGA-PBE calculation of crystalline Sc2TiTlN at its relaxed geometry, from the Alexandria database.

Unit cell a=4.496 b=4.496 c=4.200 alpha=90.00 beta=90.00 gamma=90.00
Space group P4/mmm (No. 123)
One atom of each set of equivalent atoms:
1 Sc 0.000 0.500 0.000 x2
2 Ti 0.000 0.000 0.500 x1
3 Tl 0.500 0.500 0.500 x1
4 N 0.000 0.000 0.000 x1

Summary:
- ρ: 6.965 g cm⁻³
- Spin magnetization: 0.737 μB/f.u.
- Formation energy (no corrections): -4.694 eV/f.u.

Record 16
The following is a GGA-PBE calculation of crystalline PaTiFe at its relaxed geometry, from the Alexandria database.

Unit cell a=6.2756 b=6.2756 c=4.6898 alpha=90.00 beta=90.00 gamma=120.00
Space group P-62m (No. 189)
One atom of each set of equivalent atoms:
1 Pa 0.0000 0.5123 0.0000 x3
2 Ti 0.0000 0.0000 0.0000 x1
3 Ti 0.3333 0.6667 0.5000 x2
4 Fe 0.0000 0.2238 0.5000 x3

Summary:
- Formation enthalpy at 0 K: 149 meV/atom
- ρ: 10.425 g cm⁻³
- Spin magnetization: 0.317 μB/f.u.

Record 17
The following is a GGA-PBE calculation of crystalline Er2TmSe at its relaxed geometry, from the Alexandria database.

Unit cell a=3.7453 b=3.7453 c=27.8404 alpha=90.00 beta=90.00 gamma=120.00
Space group R3m (No. 160, hexagonal axes)
One atom of each set of equivalent atoms:
1 Er 0.0000 0.0000 0.0000 x3
2 Er 0.0000 0.0000 0.1997 x3
3 Tm 0.0000 0.0000 0.4326 x3
4 Se 0.0000 0.0000 0.5997 x3

Summary:
- ρ: 8.579 g cm⁻³
- Energy above the most stable polymorph in this dataset: 0.00 eV per formula unit
- Spin magnetization: 0.216 μB/f.u.
- Formation energy (no corrections): -3.184 eV/f.u.

Record 18
The following is a GGA-PBE calculation of crystalline RbCaBr at its relaxed geometry, from the Alexandria database.

Unit cell a=4.2700 b=4.2700 c=32.8074 alpha=90.00 beta=90.00 gamma=120.00
Space group P-3m1 (No. 164)
One atom of each set of equivalent atoms:
1 Rb 0.3333 0.6667 0.2916 x2
2 Rb 0.3333 0.6667 0.4331 x2
3 Ca 0.3333 0.6667 0.8190 x2
4 Ca 0.3333 0.6667 0.9562 x2
5 Br 0.3333 0.6667 0.1133 x2
6 Br 0.3333 0.6667 0.6373 x2

Summary:
- ρ: 2.634 g cm⁻³
- Energy above the most stable polymorph in this dataset: 0.09 eV per formula unit
- Spin magnetization: 0.000 μB/f.u.
- Formation energy (no corrections): -2.675 eV/f.u.

Record 19
The following is a GGA-PBE calculation of crystalline AcTbPmDy at its relaxed geometry, from the Alexandria database.

Unit cell a=8.296 b=8.296 c=8.296 alpha=90.00 beta=90.00 gamma=90.00
Space group F-43m (No. 216)
One atom of each set of equivalent atoms:
1 Ac 0.000 0.000 0.000 x4
2 Tb 0.250 0.250 0.750 x4
3 Pm 0.000 0.000 0.500 x4
4 Dy 0.250 0.250 0.250 x4

Summary:
- Formation enthalpy at 0 K: 124 meV/atom
- ρ: 8.067 g cm⁻³
- Spin magnetization: 0.000 μB/f.u.

Record 20
The following is a GGA-PBE calculation of crystalline La2Pr2As5 at its relaxed geometry, from the Alexandria database.

Unit cell a=15.888 b=7.871 c=7.926 alpha=90.00 beta=90.00 gamma=90.00
Space group Cmce (No. 64)
One atom of each set of equivalent atoms:
1 La 0.187 0.000 0.000 x8
2 Pr 0.000 0.169 0.330 x8
3 As 0.000 0.000 0.000 x4
4 As 0.138 0.119 0.618 x16

Summary:
- Formation enthalpy at 0 K: -1222 meV/atom
- ρ: 6.261 g cm⁻³
- Spin magnetization: 0.000 μB/f.u.

Record 21
The following is a GGA-PBE calculation of crystalline Pr8P3SCl4 at its relaxed geometry, from the Alexandria database.

Unit cell a=8.3317 b=8.3317 c=20.9157 alpha=90.00 beta=90.00 gamma=120.00
Space group R-3m (No. 166, hexagonal axes)
One atom of each set of equivalent atoms:
1 Pr 0.0000 0.0000 0.2384 x6
2 Pr 0.9998 0.4999 0.2378 x18
3 P 0.0000 0.5000 0.5000 x9
4 S 0.0000 0.0000 0.5000 x3
5 Cl 0.0000 0.0000 0.0000 x3
6 Cl 0.0000 0.5000 0.0000 x9

Summary:
- ρ: 5.523 g cm⁻³
- Spin magnetization: 0.000 μB/f.u.
- Formation energy (no corrections): -26.326 eV/f.u.

Record 22
The following is a GGA-PBE calculation of crystalline K2ZnAsH at its relaxed geometry, from the Alexandria database.

Unit cell a=6.938 b=4.206 c=9.581 alpha=90.00 beta=109.77 gamma=90.00
Space group P2_1/m (No. 11)
One atom of each set of equivalent atoms:
1 K 0.189 0.250 0.405 x2
2 K 0.226 0.250 0.954 x2
3 Zn 0.457 0.750 0.245 x2
4 As 0.352 0.750 0.712 x2
5 H 0.195 0.750 0.172 x2

Summary:
- DFT total energy: -26.65 eV/cell
- ρ: 2.771 g cm⁻³
- Spin magnetization: 0.000 μB/f.u.

Record 23
The following is a GGA-PBE calculation of crystalline Nd2HgPtO5 at its relaxed geometry, from the Alexandria database.

Unit cell a=6.981 b=6.981 c=5.698 alpha=90.00 beta=90.00 gamma=90.00
Space group P4/mbm (No. 127)
One atom of each set of equivalent atoms:
1 Nd 0.176 0.324 0.000 x4
2 Hg 0.000 0.000 0.500 x2
3 Pt 0.000 0.500 0.500 x2
4 O 0.000 0.000 0.000 x2
5 O 0.133 0.633 0.240 x8

Summary:
- ρ: 9.140 g cm⁻³
- Spin magnetization: 0.520 μB/f.u.
- Formation energy (no corrections): -16.880 eV/f.u.